# Np2Tl3AgS6 | the Alexandria database | PBE-GGA | relaxed
data_Np2Tl3AgS6
_symmetry_space_group_name_H-M 'C 1 2/m 1'
_symmetry_Int_Tables_number 12
_cell_length_a 6.8700
_cell_length_b 11.9773
_cell_length_c 7.8467
_cell_angle_alpha 90.00
_cell_angle_beta 106.49
_cell_angle_gamma 90.00
loop_
_symmetry_equiv_pos_as_xyz
'x,y,z'
'-x,-y,-z'
'-x,y,-z'
'x,-y,z'
'x+1/2,y+1/2,z'
'-x+1/2,-y+1/2,-z'
'-x+1/2,y+1/2,-z'
'x+1/2,-y+1/2,z'
loop_
_atom_site_label
_atom_site_type_symbol
_atom_site_fract_x
_atom_site_fract_y
_atom_site_fract_z
Np1 Np 0.0000 0.1671 0.0000
Tl1 Tl 0.0000 0.0000 0.5000
Tl2 Tl 0.0000 0.3408 0.5000
Ag1 Ag 0.0000 0.5000 0.0000
S1 S 0.2148 0.0000 0.1915
S2 S 0.2451 0.3213 0.2032
# raw total energy: -5.8649 eV/atom